# 1
# LiMo2As (PBE, optimized geometry)
data_LiMo2As
_chemical_formula_sum 'Li3 Mo6 As3'
_symmetry_space_group_name_H-M 'R -3 m'
_symmetry_Int_Tables_number 166
_symmetry_space_group_name_Hall '-R 3 2"'
_cell_length_a 2.9144
_cell_length_b 2.9144
_cell_length_c 26.4868
_cell_angle_alpha 90.00
_cell_angle_beta 90.00
_cell_angle_gamma 120.00
loop_
_atom_site_label
_atom_site_fract_x
_atom_site_fract_y
_atom_site_fract_z
Li1 0.0000 0.0000 0.0000
Mo1 0.0000 0.0000 0.2421
As1 0.0000 0.0000 0.5000
# ΔH_f (0 K) = 0.4110 eV/atom



# 2
# Tb3Pm2HoTe6 (PBE, optimized geometry)
data_Tb3Pm2HoTe6
_chemical_formula_sum 'Tb6 Pm4 Ho2 Te12'
_symmetry_space_group_name_H-M 'C 1 2/m 1'
_symmetry_Int_Tables_number 12
_cell_length_a 19.165
_cell_length_b 4.369
_cell_length_c 8.849
_cell_angle_alpha 90.00
_cell_angle_beta 103.02
_cell_angle_gamma 90.00
loop_
_symmetry_equiv_pos_as_xyz
'x,y,z'
'-x,-y,-z'
'-x,y,-z'
'x,-y,z'
'x+1/2,y+1/2,z'
'-x+1/2,-y+1/2,-z'
'-x+1/2,y+1/2,-z'
'x+1/2,-y+1/2,z'
loop_
_atom_site_label
_atom_site_fract_x
_atom_site_fract_y
_atom_site_fract_z
Tb1 0.000 0.000 0.000
Tb2 0.172 0.500 0.334
Pm1 0.170 0.500 0.836
Ho1 0.000 0.000 0.500
Te1 0.003 0.500 0.254
Te2 0.163 0.000 0.087
Te3 0.163 0.000 0.576
# ΔE_f (raw) = -128.6 kJ/mol of atoms



# 3
# La7Hg2Os (PBE, optimized geometry)
data_La7Hg2Os
_chemical_formula_sum 'La28 Hg8 Os4'
_symmetry_space_group_name_H-M 'C 1 2/c 1'
_symmetry_Int_Tables_number 15
_cell_length_a 15.794
_cell_length_b 9.134
_cell_length_c 10.869
_cell_angle_alpha 90.00
_cell_angle_beta 126.54
_cell_angle_gamma 90.00
loop_
_symmetry_equiv_pos_as_xyz
'x,y,z'
'-x,-y,-z'
'-x,y,-z+1/2'
'x,-y,z+1/2'
'x+1/2,y+1/2,z'
'-x+1/2,-y+1/2,-z'
'-x+1/2,y+1/2,-z+1/2'
'x+1/2,-y+1/2,z+1/2'
loop_
_atom_site_label
_atom_site_fract_x
_atom_site_fract_y
_atom_site_fract_z
La1 0.000 0.073 0.250
La2 0.080 0.331 0.092
La3 0.143 0.277 0.801
La4 0.190 0.385 0.507
Hg1 0.162 0.017 0.615
Os1 0.000 0.498 0.250
# ΔH_f (0 K) = -0.2396 eV/atom



# 4
# PaGa4Hg (PBE, optimized geometry)
data_PaGa4Hg
_chemical_formula_sum 'Pa4 Ga16 Hg4'
_symmetry_space_group_name_H-M 'F -4 3 m'
_symmetry_Int_Tables_number 216
_symmetry_space_group_name_Hall 'F -4 2 3'
_cell_length_a 7.854
_cell_length_b 7.854
_cell_length_c 7.854
_cell_angle_alpha 90.00
_cell_angle_beta 90.00
_cell_angle_gamma 90.00
loop_
_atom_site_label
_atom_site_fract_x
_atom_site_fract_y
_atom_site_fract_z
Pa1 0.000 0.000 0.000
Ga1 0.125 0.125 0.375
Hg1 0.250 0.250 0.750
# ΔH_f (0 K) = -0.0155 eV/atom



# 5
# Pa6IrPt5 (PBE, optimized geometry)
data_Pa6IrPt5
_chemical_formula_sum 'Pa12 Ir2 Pt10'
_symmetry_space_group_name_H-M 'C m m m'
_symmetry_Int_Tables_number 65
_symmetry_space_group_name_Hall '-C 2 2'
_cell_length_a 4.539
_cell_length_b 16.477
_cell_length_c 6.980
_cell_angle_alpha 90.00
_cell_angle_beta 90.00
_cell_angle_gamma 90.00
loop_
_atom_site_label
_atom_site_fract_x
_atom_site_fract_y
_atom_site_fract_z
Pa1 0.000 0.000 0.244
Pa2 0.000 0.347 0.249
Ir1 0.000 0.500 0.000
Pt1 0.000 0.192 0.000
Pt2 0.000 0.192 0.500
Pt3 0.000 0.500 0.500
# ΔH_f (0 K) = -0.7724 eV/atom



# 6
# PmSi2Mo (PBE, optimized geometry)
data_PmSi2Mo
_chemical_formula_sum 'Pm3 Si6 Mo3'
_symmetry_space_group_name_H-M 'R -3 m'
_symmetry_Int_Tables_number 166
_symmetry_space_group_name_Hall '-R 3 2"'
_cell_length_a 4.2055
_cell_length_b 4.2055
_cell_length_c 15.3014
_cell_angle_alpha 90.00
_cell_angle_beta 90.00
_cell_angle_gamma 120.00
loop_
_atom_site_label
_atom_site_fract_x
_atom_site_fract_y
_atom_site_fract_z
Pm1 0.0000 0.0000 0.0000
Si1 0.0000 0.0000 0.2135
Mo1 0.0000 0.0000 0.5000
# ΔE_f (raw) = -35.9 kJ/mol of atoms
# Energy relative to the lowest polymorph listed for this composition = 224 meV per atom



# 7
# BaHg2Pt3 (PBE, optimized geometry)
data_BaHg2Pt3
_chemical_formula_sum 'Ba4 Hg8 Pt12'
_symmetry_space_group_name_H-M 'C m c m'
_symmetry_Int_Tables_number 63
_symmetry_space_group_name_Hall '-C 2c 2'
_cell_length_a 10.909
_cell_length_b 9.190
_cell_length_c 5.907
_cell_angle_alpha 90.00
_cell_angle_beta 90.00
_cell_angle_gamma 90.00
loop_
_atom_site_label
_atom_site_fract_x
_atom_site_fract_y
_atom_site_fract_z
Ba1 0.000 0.196 0.250
Hg1 0.199 0.500 0.000
Pt1 0.000 0.371 0.750
Pt2 0.214 0.234 0.750
# ΔH_f (0 K) = -0.2599 eV/atom



# 8
# Nd5YEr2Tm (PBE, optimized geometry)
data_Nd5YEr2Tm
_chemical_formula_sum 'Nd20 Y4 Er8 Tm4'
_symmetry_space_group_name_H-M 'C m c 21'
_symmetry_Int_Tables_number 36
_cell_length_a 5.637
_cell_length_b 20.475
_cell_length_c 10.664
_cell_angle_alpha 90.00
_cell_angle_beta 90.00
_cell_angle_gamma 90.00
loop_
_symmetry_equiv_pos_as_xyz
'x,y,z'
'-x,-y,z+1/2'
'-x,y,z'
'x,-y,z+1/2'
'x+1/2,y+1/2,z'
'-x+1/2,-y+1/2,z+1/2'
'-x+1/2,y+1/2,z'
'x+1/2,-y+1/2,z+1/2'
loop_
_atom_site_label
_atom_site_fract_x
_atom_site_fract_y
_atom_site_fract_z
Nd1 0.000 0.015 0.000
Nd2 0.000 0.278 0.299
Nd3 0.000 0.297 0.694
Nd4 0.000 0.383 0.005
Nd5 0.000 0.484 0.729
Y1 0.000 0.406 0.449
Er1 0.000 0.114 0.290
Er2 0.000 0.114 0.724
Tm1 0.000 0.199 0.997
# ΔH_f (0 K) = 0.1485 eV/atom



# 9
# Ca6CdAg5 (PBE, optimized geometry)
data_Ca6CdAg5
_chemical_formula_sum 'Ca6 Cd1 Ag5'
_symmetry_space_group_name_H-M 'P 1 2/m 1'
_symmetry_Int_Tables_number 10
_cell_length_a 5.257
_cell_length_b 7.514
_cell_length_c 8.305
_cell_angle_alpha 90.00
_cell_angle_beta 107.80
_cell_angle_gamma 90.00
loop_
_symmetry_equiv_pos_as_xyz
'x,y,z'
'-x,-y,-z'
'-x,y,-z'
'x,-y,z'
loop_
_atom_site_label
_atom_site_fract_x
_atom_site_fract_y
_atom_site_fract_z
Ca1 0.000 0.245 0.000
Ca2 0.330 0.249 0.662
Cd1 0.500 0.500 0.000
Ag1 0.164 0.500 0.325
Ag2 0.169 0.000 0.333
Ag3 0.500 0.000 0.000
# ΔH_f (0 K) = -0.3124 eV/atom



# 10
# IrAu (PBE, optimized geometry)
data_IrAu
_chemical_formula_sum 'Ir2 Au2'
_symmetry_space_group_name_H-M 'P m m n'
_symmetry_Int_Tables_number 59
_cell_length_a 2.798
_cell_length_b 4.628
_cell_length_c 5.011
_cell_angle_alpha 90.00
_cell_angle_beta 90.00
_cell_angle_gamma 90.00
loop_
_symmetry_equiv_pos_as_xyz
'x,y,z'
'-x,-y,-z'
'-x+1/2,-y+1/2,z'
'x+1/2,y+1/2,-z'
'x+1/2,-y,-z'
'-x+1/2,y,z'
'-x,y+1/2,-z'
'x,-y+1/2,z'
loop_
_atom_site_label
_atom_site_fract_x
_atom_site_fract_y
_atom_site_fract_z
Ir1 0.250 0.250 0.063
Au1 0.250 0.750 0.420
# ΔH_f (0 K) = 0.3794 eV/atom
# Energy relative to the lowest polymorph listed for this composition = 193 meV per atom



# 11
# SmHoNp2As4 (PBE, optimized geometry)
data_SmHoNp2As4
_chemical_formula_sum 'Sm1 Ho1 Np2 As4'
_symmetry_space_group_name_H-M 'P 1 2/m 1'
_symmetry_Int_Tables_number 10
_cell_length_a 7.160
_cell_length_b 4.108
_cell_length_c 7.162
_cell_angle_alpha 90.00
_cell_angle_beta 109.27
_cell_angle_gamma 90.00
loop_
_symmetry_equiv_pos_as_xyz
'x,y,z'
'-x,-y,-z'
'-x,y,-z'
'x,-y,z'
loop_
_atom_site_label
_atom_site_fract_x
_atom_site_fract_y
_atom_site_fract_z
Sm1 0.000 0.000 0.000
Ho1 0.500 0.500 0.000
Np1 0.000 0.500 0.500
Np2 0.500 0.000 0.500
As1 0.252 0.000 0.747
As2 0.256 0.500 0.256
# ΔH_f (0 K) = -1.0735 eV/atom



# 12
# Li2AcMg2 (PBE, optimized geometry)
data_Li2AcMg2
_chemical_formula_sum 'Li8 Ac4 Mg8'
_symmetry_space_group_name_H-M 'C 1 2/c 1'
_symmetry_Int_Tables_number 15
_cell_length_a 6.176
_cell_length_b 11.420
_cell_length_c 8.522
_cell_angle_alpha 90.00
_cell_angle_beta 111.18
_cell_angle_gamma 90.00
loop_
_symmetry_equiv_pos_as_xyz
'x,y,z'
'-x,-y,-z'
'-x,y,-z+1/2'
'x,-y,z+1/2'
'x+1/2,y+1/2,z'
'-x+1/2,-y+1/2,-z'
'-x+1/2,y+1/2,-z+1/2'
'x+1/2,-y+1/2,z+1/2'
loop_
_atom_site_label
_atom_site_fract_x
_atom_site_fract_y
_atom_site_fract_z
Li1 0.000 0.075 0.250
Li2 0.000 0.326 0.750
Ac1 0.000 0.375 0.250
Mg1 0.107 0.125 0.964
# ΔH_f (0 K) = 0.0825 eV/atom



# 13
# Y3MoW (PBE, optimized geometry)
data_Y3MoW
_chemical_formula_sum 'Y3 Mo1 W1'
_symmetry_space_group_name_H-M 'P m -3 m'
_symmetry_Int_Tables_number 221
_symmetry_space_group_name_Hall '-P 4 2 3'
_cell_length_a 5.369
_cell_length_b 5.369
_cell_length_c 5.369
_cell_angle_alpha 90.00
_cell_angle_beta 90.00
_cell_angle_gamma 90.00
loop_
_atom_site_label
_atom_site_fract_x
_atom_site_fract_y
_atom_site_fract_z
Y1 0.000 0.000 0.500
Mo1 0.500 0.500 0.500
W1 0.000 0.000 0.000
# ΔH_f (0 K) = 1.2086 eV/atom
# Energy relative to the lowest polymorph listed for this composition = 0 meV per atom



# 14
# V12P7 (PBE, optimized geometry)
data_V12P7
_chemical_formula_sum 'V12 P7'
_symmetry_space_group_name_H-M 'P -6'
_symmetry_Int_Tables_number 174
_cell_length_a 9.3122
_cell_length_b 9.3122
_cell_length_c 3.2283
_cell_angle_alpha 90.00
_cell_angle_beta 90.00
_cell_angle_gamma 120.00
loop_
_symmetry_equiv_pos_as_xyz
'x,y,z'
'-x+y,-x,-z'
'-y,x-y,z'
'x,y,-z'
'-x+y,-x,z'
'-y,x-y,-z'
loop_
_atom_site_label
_atom_site_fract_x
_atom_site_fract_y
_atom_site_fract_z
V1 0.0051 0.2035 0.0000
V2 0.1326 0.6208 0.0000
V3 0.2657 0.2521 0.5000
V4 0.5032 0.1304 0.5000
P1 0.0000 0.0000 0.5000
P2 0.1583 0.4421 0.5000
P3 0.4629 0.2922 0.0000
# ΔH_f (0 K) = -0.8366 eV/atom



# 15
# BeInGaSn2 (PBE, optimized geometry)
data_BeInGaSn2
_chemical_formula_sum 'Be1 In1 Ga1 Sn2'
_symmetry_space_group_name_H-M 'P 4/m m m'
_symmetry_Int_Tables_number 123
_symmetry_space_group_name_Hall '-P 4 2'
_cell_length_a 5.660
_cell_length_b 5.660
_cell_length_c 5.177
_cell_angle_alpha 90.00
_cell_angle_beta 90.00
_cell_angle_gamma 90.00
loop_
_atom_site_label
_atom_site_fract_x
_atom_site_fract_y
_atom_site_fract_z
Be1 0.000 0.000 0.000
In1 0.500 0.500 0.500
Ga1 0.500 0.500 0.000
Sn1 0.000 0.500 0.500
# ΔH_f (0 K) = 1.0785 eV/atom



# 16
# Ag2SbPbSe4 (PBE, optimized geometry)
data_Ag2SbPbSe4
_chemical_formula_sum 'Ag8 Sb4 Pb4 Se16'
_symmetry_space_group_name_H-M 'I m m a'
_symmetry_Int_Tables_number 74
_symmetry_space_group_name_Hall '-I 2b 2'
_cell_length_a 8.189
_cell_length_b 8.240
_cell_length_c 11.607
_cell_angle_alpha 90.00
_cell_angle_beta 90.00
_cell_angle_gamma 90.00
loop_
_atom_site_label
_atom_site_fract_x
_atom_site_fract_y
_atom_site_fract_z
Ag1 0.000 0.000 0.000
Ag2 0.250 0.250 0.250
Sb1 0.250 0.250 0.750
Pb1 0.000 0.000 0.500
Se1 0.000 0.002 0.242
Se2 0.234 0.250 0.001
# ΔE_f (raw) = -21.6 kJ/mol of atoms



# 17
# Ce5Ga2Rh5 (PBE, optimized geometry)
data_Ce5Ga2Rh5
_chemical_formula_sum 'Ce10 Ga4 Rh10'
_symmetry_space_group_name_H-M 'C 1 2/m 1'
_symmetry_Int_Tables_number 12
_cell_length_a 13.553
_cell_length_b 3.778
_cell_length_c 10.538
_cell_angle_alpha 90.00
_cell_angle_beta 100.18
_cell_angle_gamma 90.00
loop_
_symmetry_equiv_pos_as_xyz
'x,y,z'
'-x,-y,-z'
'-x,y,-z'
'x,-y,z'
'x+1/2,y+1/2,z'
'-x+1/2,-y+1/2,-z'
'-x+1/2,y+1/2,-z'
'x+1/2,-y+1/2,z'
loop_
_atom_site_label
_atom_site_fract_x
_atom_site_fract_y
_atom_site_fract_z
Ce1 0.000 0.000 0.000
Ce2 0.142 0.000 0.561
Ce3 0.239 0.500 0.139
Ga1 0.053 0.500 0.282
Rh1 0.000 0.500 0.500
Rh2 0.112 0.500 0.885
Rh3 0.197 0.000 0.316
# ΔH_f (0 K) = -0.6100 eV/atom



# 18
# ZrZn2Sb (PBE, optimized geometry)
data_ZrZn2Sb
_chemical_formula_sum 'Zr2 Zn4 Sb2'
_symmetry_space_group_name_H-M 'C m m m'
_symmetry_Int_Tables_number 65
_symmetry_space_group_name_Hall '-C 2 2'
_cell_length_a 5.727
_cell_length_b 8.977
_cell_length_c 3.122
_cell_angle_alpha 90.00
_cell_angle_beta 90.00
_cell_angle_gamma 90.00
loop_
_atom_site_label
_atom_site_fract_x
_atom_site_fract_y
_atom_site_fract_z
Zr1 0.000 0.000 0.000
Zn1 0.250 0.250 0.500
Sb1 0.000 0.500 0.000
# ΔE_f (raw) = -8.8 kJ/mol of atoms



# 19
# CuTe2 (PBE, optimized geometry)
data_CuTe2
_chemical_formula_sum 'Cu2 Te4'
_symmetry_space_group_name_H-M 'P 63/m m c'
_symmetry_Int_Tables_number 194
_symmetry_space_group_name_Hall '-P 6c 2c'
_cell_length_a 3.9381
_cell_length_b 3.9381
_cell_length_c 12.2584
_cell_angle_alpha 90.00
_cell_angle_beta 90.00
_cell_angle_gamma 120.00
loop_
_atom_site_label
_atom_site_fract_x
_atom_site_fract_y
_atom_site_fract_z
Cu1 0.3333 0.6667 0.2500
Te1 0.0000 0.0000 0.1268
# ΔE_f (raw) = 3.9 kJ/mol of atoms



# 20
# CuIBr (PBE, optimized geometry)
data_CuIBr
_chemical_formula_sum 'Cu1 I1 Br1'
_symmetry_space_group_name_H-M 'P 3 m 1'
_symmetry_Int_Tables_number 156
_cell_length_a 3.8159
_cell_length_b 3.8159
_cell_length_c 7.0078
_cell_angle_alpha 90.00
_cell_angle_beta 90.00
_cell_angle_gamma 120.00
loop_
_symmetry_equiv_pos_as_xyz
'x,y,z'
'-y,x-y,z'
'-x+y,-x,z'
'-y,-x,z'
'-x+y,y,z'
'x,x-y,z'
loop_
_atom_site_label
_atom_site_fract_x
_atom_site_fract_y
_atom_site_fract_z
Cu1 0.0000 0.0000 0.0000
I1 0.3333 0.6667 0.7562
Br1 0.6667 0.3333 0.1941
# ΔE_f (raw) = -11.4 kJ/mol of atoms
# Energy relative to the lowest polymorph listed for this composition = 67 meV per atom



# 21
# RbZn12Au7 (PBE, optimized geometry)
data_RbZn12Au7
_chemical_formula_sum 'Rb3 Zn36 Au21'
_symmetry_space_group_name_H-M 'R -3 m'
_symmetry_Int_Tables_number 166
_symmetry_space_group_name_Hall '-R 3 2"'
_cell_length_a 13.4412
_cell_length_b 13.4412
_cell_length_c 7.0841
_cell_angle_alpha 90.00
_cell_angle_beta 90.00
_cell_angle_gamma 120.00
loop_
_atom_site_label
_atom_site_fract_x
_atom_site_fract_y
_atom_site_fract_z
Rb1 0.0000 0.0000 0.0000
Zn1 0.0000 0.2670 0.0000
Zn2 0.1103 0.5552 0.9969
Au1 0.0000 0.0000 0.5000
Au2 0.1021 0.5511 0.3762
# ΔH_f (0 K) = -0.0878 eV/atom



# 22
# YTlN2 (PBE, optimized geometry)
data_YTlN2
_chemical_formula_sum 'Y3 Tl3 N6'
_symmetry_space_group_name_H-M 'R -3 m'
_symmetry_Int_Tables_number 166
_symmetry_space_group_name_Hall '-R 3 2"'
_cell_length_a 3.6507
_cell_length_b 3.6507
_cell_length_c 19.8906
_cell_angle_alpha 90.00
_cell_angle_beta 90.00
_cell_angle_gamma 120.00
loop_
_atom_site_label
_atom_site_fract_x
_atom_site_fract_y
_atom_site_fract_z
Y1 0.0000 0.0000 0.0000
Tl1 0.0000 0.0000 0.5000
N1 0.0000 0.0000 0.1089
# ΔE_f (raw) = 83.9 kJ/mol of atoms
# Energy relative to the lowest polymorph listed for this composition = 1132 meV per atom



# 23
# MnTcMo2 (PBE, optimized geometry)
data_MnTcMo2
_chemical_formula_sum 'Mn2 Tc2 Mo4'
_symmetry_space_group_name_H-M 'I -4 m 2'
_symmetry_Int_Tables_number 119
_symmetry_space_group_name_Hall 'I -4 -2'
_cell_length_a 3.795
_cell_length_b 3.795
_cell_length_c 8.182
_cell_angle_alpha 90.00
_cell_angle_beta 90.00
_cell_angle_gamma 90.00
loop_
_atom_site_label
_atom_site_fract_x
_atom_site_fract_y
_atom_site_fract_z
Mn1 0.000 0.000 0.000
Tc1 0.000 0.500 0.250
Mo1 0.000 0.000 0.500
Mo2 0.000 0.500 0.750
# ΔH_f (0 K) = 0.2281 eV/atom
# Energy relative to the lowest polymorph listed for this composition = 165 meV per atom